No. 1
VASP calculation (GGA-PBE) on MoPt2RhS after structural relaxation.

Geometry as extended XYZ:
```
5
Lattice="4.431 0.000 0.000 0.000 4.431 0.000 0.000 0.000 4.380" Properties=species:S:1:pos:R:3 pbc="T T T"
Mo 0.000 0.000 0.000
Pt 0.000 2.216 2.190
Pt 2.216 0.000 2.190
Rh 2.216 2.216 0.000
S 0.000 0.000 2.190
```

## Properties
The value obtained for the formation energy from raw total energies is 55 kJ/mol of atoms. The value obtained for the theoretical density is 12.0 Mg/m³. Its crystal system is tetragonal.

No. 2
VASP calculation (GGA-PBE) on Pr2MgZnS5 after structural relaxation.

Geometry as extended XYZ:
```
18
Lattice="1.965 -8.381 0.000 1.965 8.381 0.000 0.000 0.000 11.579" Properties=species:S:1:pos:R:3 pbc="T T T"
Pr 1.965 6.463 5.790
Pr 1.965 6.166 1.341
Pr 1.965 -6.166 7.130
Pr 1.965 -6.463 0.000
Mg 1.965 4.945 9.548
Mg 1.965 -4.945 3.758
Zn 1.965 0.934 3.128
Zn 1.965 -0.934 8.917
S 1.965 7.554 10.122
S 1.965 3.561 5.503
S 1.965 3.145 1.959
S 1.965 2.425 9.409
S 1.965 0.048 6.831
S 1.965 -0.048 1.042
S 1.965 -2.425 3.620
S 1.965 -3.145 7.749
S 1.965 -3.561 11.293
S 1.965 -7.554 4.333
```

## Properties
The value obtained for the formation energy from raw total energies is -156 kJ/mol of atoms. The value obtained for the theoretical density is 4.6 Mg/m³. Its crystal system is orthorhombic.

No. 3
VASP calculation (GGA-PBE) on MgTi3Al after structural relaxation.

Geometry as extended XYZ:
```
5
Lattice="4.721 0.000 0.000 0.000 4.721 0.000 0.000 0.000 4.721" Properties=species:S:1:pos:R:3 pbc="T T T"
Mg 0.000 0.000 0.000
Ti 0.000 0.000 2.360
Ti 0.000 2.360 0.000
Ti 2.360 0.000 0.000
Al 2.360 2.360 2.360
```

## Properties
The value obtained for the polymorph energy (0 for the lowest one) is 2.21 eV/f.u. The value obtained for the theoretical density is 3.1 Mg/m³. Its crystal system is cubic.